11
Lattice="-1.982 1.982 10.346 1.982 -1.982 10.346 1.982 1.982 -10.346" Properties=species:S:1:pos:R:3 comment="Pu3As2H4Pd2 (GGA-PBE, relaxed)" dft_energy_ev_per_cell=-81.54 pbc="T T T"
Pu 0.000 0.000 0.000
Pu 0.000 0.000 3.451
Pu 0.000 0.000 17.240
As 0.000 0.000 6.322
As 0.000 0.000 14.369
H 1.982 0.000 1.536
H 1.982 0.000 8.810
H 0.000 1.982 1.536
H 0.000 1.982 8.810
Pd 0.000 0.000 8.895
Pd 0.000 0.000 11.797